{
  "formula": "TlCo2HgF8",
  "functional": "GGA+U",
  "state": "relaxed",
  "cell": [[5.1203, 0.0000, 0.0000], [0.0000, 6.7302, 0.0000], [-0.0485, 0.0000, 5.2477]],
  "species": ["Tl", "Co", "Co", "Hg", "F", "F", "F", "F", "F", "F", "F", "F"],
  "fractional_positions": [[0.0000, 0.0000, 0.0000], [0.5000, 0.2525, 0.5000], [0.5000, 0.7475, 0.5000], [0.0000, 0.5000, 0.0000], [0.2321, 0.2530, 0.7768], [0.2321, 0.7470, 0.7768], [0.3185, 0.5000, 0.3291], [0.3218, 0.0000, 0.3318], [0.6782, 0.0000, 0.6682], [0.6815, 0.5000, 0.6709], [0.7679, 0.2530, 0.2232], [0.7679, 0.7470, 0.2232]],
  "space_group": "P2/m (10)",
  "n_ef_per_ev_atom": 0.21,
  "m_tot_mub_per_fu": 5.52,
  "dft_energy_ev_per_atom": -4.137,
  "rho_g_cm3": 6.20
}